Entry 1:
## TlAgTe2PbSe (PBE)

Data for TlAgTe2PbSe after structural relaxation.

The value obtained for the total energy is -79.25 eV per cell.

The structure belongs to space group Cmcm (No. 63); the cell edges are 4.3118, 13.6732 and 12.0237 Å and the angles 90.00°, 90.00° and 90.00°. Symmetry generates all atoms from Tl at (0.0000, 0.2073, 0.2500), Ag at (0.0000, 0.0877, 0.7500), Te at (0.0000, 0.1662, 0.5321), Pb at (0.0000, 0.5000, 0.0000) and Se at (0.0000, 0.4664, 0.7500).

---

Entry 2:
## Li4Si2NiPd (PBE)

Data for Li4Si2NiPd after structural relaxation.

The value obtained for the total energy is -32.87 eV per cell. The total magnetic moment comes out at 0.0 μB per formula unit.

The structure belongs to space group P-4m2 (No. 115); the cell edges are 4.0693, 4.0693 and 5.8487 Å and the angles 90.00°, 90.00° and 90.00°. Symmetry generates all atoms from Li at (0.0000, 0.0000, 0.0000), Li at (0.0000, 0.5000, 0.7395), Li at (0.5000, 0.5000, 0.5000), Si at (0.0000, 0.5000, 0.2684), Ni at (0.0000, 0.0000, 0.5000) and Pd at (0.5000, 0.5000, 0.0000).

---

Entry 3:
## ReTe4Se (PBE)

Data for ReTe4Se after structural relaxation.

The value obtained for the energy above the most stable polymorph in this dataset is 0.000 eV per atom. The total magnetic moment comes out at 0.0 μB per formula unit.

The structure belongs to space group P-1 (No. 2); the cell edges are 6.8736, 7.2864 and 8.3339 Å and the angles 115.65°, 90.35° and 107.90°. Symmetry generates all atoms from Re at (0.0012, 0.1932, 0.4977), Te at (0.0083, 0.2688, 0.0196), Te at (0.2277, 0.5216, 0.4069), Te at (0.2588, 0.0009, 0.8180), Te at (0.2746, 0.4647, 0.8004) and Se at (0.2331, 0.9913, 0.3551).

---

Entry 4:
## LiSb2Pd2 (PBE)

Data for LiSb2Pd2 after structural relaxation.

The value obtained for the total energy is -44.65 eV per cell.

The structure belongs to space group I4/mmm (No. 139); the cell edges are 4.4784, 4.4784 and 11.3486 Å and the angles 90.00°, 90.00° and 90.00°. Symmetry generates all atoms from Li at (0.0000, 0.0000, 0.0000), Sb at (0.0000, 0.0000, 0.3748) and Pd at (0.0000, 0.5000, 0.2500).

---

Entry 5:
## PrY2Sc2 (PBE)

Data for PrY2Sc2 after structural relaxation.

As for the formation enthalpy at 0 K: 0.38 eV/atom. The value obtained for the energy above the most stable polymorph in this dataset is 0.000 eV per atom. The total magnetic moment comes out at 0.1 μB per formula unit.

The structure belongs to space group I4mm (No. 107); the cell edges are 4.4675, 4.4675 and 15.4453 Å and the angles 90.00°, 90.00° and 90.00°. Symmetry generates all atoms from Pr at (0.0000, 0.0000, 0.0000), Y at (0.0000, 0.5000, 0.2508), Sc at (0.0000, 0.0000, 0.4083) and Sc at (0.0000, 0.0000, 0.5930).

---

Entry 6:
## AcHf (PBE)

Data for AcHf after structural relaxation.

As for the formation enthalpy at 0 K: 1.27 eV/atom. The value obtained for the energy above the most stable polymorph in this dataset is 0.772 eV per atom. The total magnetic moment comes out at 0.0 μB per formula unit.

The structure belongs to space group Fm-3m (No. 225); the cell edges are 6.5867, 6.5867 and 6.5867 Å and the angles 90.00°, 90.00° and 90.00°. Symmetry generates all atoms from Ac at (0.0000, 0.0000, 0.0000) and Hf at (0.0000, 0.0000, 0.5000).

---

Entry 7:
## Tb2ErPd2PtPb3 (PBE)

Data for Tb2ErPd2PtPb3 after structural relaxation.

The value obtained for the total energy is -96.13 eV per cell. The total magnetic moment comes out at 0.0 μB per formula unit.

The structure belongs to space group Amm2 (No. 38); the cell edges are 3.9344, 13.4736 and 7.8030 Å and the angles 90.00°, 90.00° and 90.00°. Symmetry generates all atoms from Tb at (0.0000, 0.1993, 0.0000), Er at (0.0000, 0.0000, 0.4029), Pd at (0.5000, 0.1651, 0.3016), Pt at (0.0000, 0.0000, 0.7989), Pb at (0.5000, 0.0000, 0.0685) and Pb at (0.5000, 0.1340, 0.6665).

---

Entry 8:
## PrThHg4 (PBE)

Data for PrThHg4 after structural relaxation.

As for the formation enthalpy at 0 K: -0.35 eV/atom. The total magnetic moment comes out at 0.0 μB per formula unit.

The structure belongs to space group Pmmm (No. 47); the cell edges are 3.4498, 5.0894 and 8.8165 Å and the angles 90.00°, 90.00° and 90.00°. Symmetry generates all atoms from Pr at (0.0000, 0.0000, 0.0000), Th at (0.0000, 0.5000, 0.5000), Hg at (0.5000, 0.0000, 0.3333) and Hg at (0.5000, 0.5000, 0.1664).

---

Entry 9:
## SmTlZnSe3 (PBE)

Data for SmTlZnSe3 after structural relaxation.

The value obtained for the energy above the most stable polymorph in this dataset is 0.151 eV per atom. The total magnetic moment comes out at 0.0 μB per formula unit.

The structure belongs to space group C2/m (No. 12); the cell edges are 17.4635, 4.2787 and 9.2252 Å and the angles 90.00°, 105.39° and 90.00°. Symmetry generates all atoms from Sm at (0.1736, 0.0000, 0.0991), Tl at (0.1373, 0.0000, 0.5703), Zn at (0.0066, 0.5000, 0.2155), Se at (0.0000, 0.0000, 0.0000), Se at (0.0000, 0.5000, 0.5000), Se at (0.1558, 0.5000, 0.8696) and Se at (0.1569, 0.5000, 0.2997).

---

Entry 10:
## BaZn2P2 (PBE)

Data for BaZn2P2 after structural relaxation.

The value obtained for the total energy is -74.61 eV per cell.

The structure belongs to space group Pnma (No. 62); the cell edges are 9.8091, 4.1420 and 10.6001 Å and the angles 90.00°, 90.00° and 90.00°. Symmetry generates all atoms from Ba at (0.2475, 0.2500, 0.1732), Zn at (0.0475, 0.2500, 0.8830), Zn at (0.0994, 0.2500, 0.4490), P at (0.0210, 0.7500, 0.3414) and P at (0.1491, 0.7500, 0.9596).

---

Entry 11:
## ErTm2Te3 (PBE)

Data for ErTm2Te3 after structural relaxation.

The value obtained for the total energy is -30.01 eV per cell. The total magnetic moment comes out at 0.0 μB per formula unit.

The structure belongs to space group P-3m1 (No. 164); the cell edges are 4.2987, 4.2987 and 10.5400 Å and the angles 90.00°, 90.00° and 120.00°. Symmetry generates all atoms from Er at (0.0000, 0.0000, 0.0000), Tm at (0.3333, 0.6667, 0.6663), Te at (0.0000, 0.0000, 0.5000) and Te at (0.3333, 0.6667, 0.1681).

---

Entry 12:
## ZrTe2 (PBE)

Data for ZrTe2 after structural relaxation.

The value obtained for the total energy is -34.91 eV per cell. The total magnetic moment comes out at 0.0 μB per formula unit.

The structure belongs to space group P6_3mc (No. 186); the cell edges are 3.9673, 3.9673 and 14.1740 Å and the angles 90.00°, 90.00° and 120.00°. Symmetry generates all atoms from Zr at (0.3333, 0.6667, 0.0000), Te at (0.0000, 0.0000, 0.3716) and Te at (0.3333, 0.6667, 0.6276).

---

Entry 13:
## SmPPd (PBE)

Data for SmPPd after structural relaxation.

The value obtained for the total energy is -35.82 eV per cell. The total magnetic moment comes out at 0.0 μB per formula unit.

The structure belongs to space group P6_3/mmc (No. 194); the cell edges are 4.9213, 4.9213 and 5.7394 Å and the angles 90.00°, 90.00° and 120.00°. Symmetry generates all atoms from Sm at (0.3333, 0.6667, 0.2500), P at (0.3333, 0.6667, 0.7500) and Pd at (0.0000, 0.0000, 0.0000).

---

Entry 14:
## LiSi5Pd3 (PBE)

Data for LiSi5Pd3 after structural relaxation.

The value obtained for the total energy is -44.59 eV per cell.

The structure belongs to space group P6/mmm (No. 191); the cell edges are 5.4856, 5.4856 and 6.0888 Å and the angles 90.00°, 90.00° and 120.00°. Symmetry generates all atoms from Li at (0.0000, 0.0000, 0.0000), Si at (0.0000, 0.0000, 0.5000), Si at (0.3333, 0.6667, 0.1889) and Pd at (0.0000, 0.5000, 0.5000).

---

Entry 15:
## CuTcSnOs (PBE)

Data for CuTcSnOs after structural relaxation.

The value obtained for the energy above the most stable polymorph in this dataset is 0.000 eV per atom. The total magnetic moment comes out at 0.4 μB per formula unit.

The structure belongs to space group F-43m (No. 216); the cell edges are 6.2754, 6.2754 and 6.2754 Å and the angles 90.00°, 90.00° and 90.00°. Symmetry generates all atoms from Cu at (0.0000, 0.0000, 0.0000), Tc at (0.2500, 0.2500, 0.2500), Sn at (0.2500, 0.2500, 0.7500) and Os at (0.0000, 0.0000, 0.5000).